Below is a relaxed structure of La4Er5Th, with properties calculated at the PBE-GGA level.

Calculated values
Final energy (eV/atom): -4.806
Energy of formation (eV per atom): 0.19

extended XYZ file:
```
10
Lattice="5.384 0.000 -1.231 -0.055 10.604 -0.241 -1.391 0.167 6.306" Properties=species:S:1:pos:R:3 pbc="T T T"
La 3.115 2.719 1.235
La 0.105 7.949 0.459
La 0.823 8.052 3.600
La 3.833 2.822 4.376
Er 0.501 0.742 2.193
Er 0.495 4.645 2.165
Er 3.443 6.127 2.670
Er 2.664 5.302 -0.736
Er 3.437 10.029 2.642
Th 2.692 0.000 -0.615
```


Below is a relaxed structure of La10Er4Th, with properties calculated at the PBE-GGA level.

Calculated values
Final energy (eV/atom): -4.796
Energy of formation (eV per atom): 0.20

extended XYZ file:
```
15
Lattice="-7.051 -0.008 4.122 -3.248 -8.047 2.520 0.533 0.533 9.005" Properties=species:S:1:pos:R:3 pbc="T T T"
La -3.120 -3.759 6.793
La -5.265 -1.330 10.513
La -1.133 -1.627 2.813
La -5.725 -5.892 11.134
La -7.409 -6.196 6.835
La -4.501 -6.192 5.135
La -6.646 -3.763 8.854
La -2.357 -1.327 8.813
La -4.041 -1.630 4.513
La -8.633 -5.895 12.834
Er -4.532 -7.754 8.417
Er -6.394 -3.076 13.332
Er -3.372 -4.446 2.315
Er -5.234 0.232 7.231
Th 0.000 0.000 0.000
```


Below is a relaxed structure of La3ErTh2, with properties calculated at the PBE-GGA level.

Calculated values
Offset from the most stable computed form (meV/atom): 539.8
Final energy (eV/atom): -5.117
Energy of formation (eV per atom): 0.58

extended XYZ file:
```
12
Lattice="-1.345 -1.614 2.790 3.594 -10.484 -4.333 9.738 1.127 5.349" Properties=species:S:1:pos:R:3 pbc="T T T"
La 0.000 0.000 0.000
La 5.993 -5.486 1.903
La 10.014 -9.516 1.510
La 1.972 -1.456 2.295
La 8.681 -3.491 2.167
La 4.651 -5.866 -1.151
Er 4.869 0.564 2.674
Er 1.124 -6.049 -0.772
Th 3.086 -8.845 -1.443
Th 4.900 -2.455 0.943
Th 8.432 -6.902 0.073
Th 8.900 -2.127 5.248
```


Below is a relaxed structure of La2Er3Th3, with properties calculated at the PBE-GGA level.

Calculated values
Final energy (eV/atom): -5.548
Energy of formation (eV per atom): 0.18

extended XYZ file:
```
8
Lattice="-2.565 2.139 -1.539 -0.630 -5.788 -6.994 -5.307 -1.105 7.309" Properties=species:S:1:pos:R:3 pbc="T T T"
La -2.189 -4.226 -2.224
La -3.747 -2.667 2.539
Er -3.984 -5.149 -4.909
Er -6.835 -2.295 3.808
Er -4.903 -3.134 -0.577
Th -4.741 -6.643 -1.332
Th -5.795 -5.588 1.891
Th -1.338 -1.554 0.071
```


Below is a relaxed structure of La12Er7Th, with properties calculated at the PBE-GGA level.

Calculated values
Offset from the most stable computed form (meV/atom): 44.5
Final energy (eV/atom): -4.689
Energy of formation (eV per atom): 0.24

extended XYZ file:
```
20
Lattice="-1.238 2.859 5.566 -10.243 -4.764 -2.268 8.461 -7.169 3.128" Properties=species:S:1:pos:R:3 pbc="T T T"
La -4.613 -3.896 -0.232
La 2.994 -4.884 1.945
La -7.308 -1.429 1.745
La 2.481 -1.342 3.478
La 0.241 -4.764 3.708
La -1.227 -7.491 0.938
La -1.794 -1.584 5.488
La -3.262 -4.310 2.717
La -5.501 -7.732 2.948
La 4.288 -7.645 4.681
La -6.014 -4.191 4.480
La 1.592 -5.179 6.658
Er -7.836 -3.236 -1.028
Er 1.018 0.721 5.676
Er -2.112 -7.157 4.153
Er -0.619 1.429 2.783
Er -0.908 -1.918 2.273
Er -4.039 -9.796 0.750
Er 4.815 -5.839 7.453
Th 0.000 0.000 0.000
```


Below is a relaxed structure of LaErTh6, with properties calculated at the PBE-GGA level.

Calculated values
Final energy (eV/atom): -6.711
Energy of formation (eV per atom): 0.04

extended XYZ file:
```
8
Lattice="5.043 0.000 0.000 0.000 8.792 -5.035 0.000 -1.882 6.909" Properties=species:S:1:pos:R:3 pbc="T T T"
La 0.000 6.286 0.782
Er 2.521 5.004 -1.456
Th 0.000 7.235 -2.686
Th 0.000 2.814 -0.154
Th 0.000 1.885 3.292
Th 2.521 4.055 2.052
Th 2.521 -0.283 4.536
Th 2.521 0.646 1.128
```


Below is a relaxed structure of LaErTh14, with properties calculated at the PBE-GGA level.

Calculated values
Final energy (eV/atom): -7.049
Energy of formation (eV per atom): 0.04

extended XYZ file:
```
16
Lattice="-5.957 -0.438 3.990 0.156 -2.909 -6.565 3.768 -10.014 4.526" Properties=species:S:1:pos:R:3 pbc="T T T"
La -1.260 -6.582 1.396
Er 1.789 -7.814 -3.868
Th -1.115 -2.395 -4.371
Th -4.174 -1.159 0.912
Th 1.681 -6.364 -0.570
Th -1.194 -0.938 -1.082
Th -1.186 -8.018 -1.844
Th -4.098 -2.614 -2.371
Th 0.621 -8.044 4.079
Th -1.270 -3.018 1.807
Th -2.292 -9.724 2.785
Th -4.183 -4.698 0.513
Th 0.702 -9.515 0.790
Th -1.198 -4.467 -1.492
Th -2.369 -8.253 6.064
Th -4.250 -3.254 3.804
```


Below is a relaxed structure of La8Er5Th, with properties calculated at the PBE-GGA level.

Calculated values
Final energy (eV/atom): -4.717
Energy of formation (eV per atom): 0.26

extended XYZ file:
```
14
Lattice="4.756 -2.408 -6.862 2.979 -2.558 7.751 -7.789 -3.723 -0.985" Properties=species:S:1:pos:R:3 pbc="T T T"
La 0.983 -1.509 3.062
La -0.139 -3.990 6.830
La 2.131 -4.594 -2.032
La -1.919 -4.598 -3.189
La 2.800 -4.690 3.200
La -0.169 -5.180 0.454
La -2.559 -6.847 4.075
La -3.119 -3.495 1.829
Er -0.641 -7.651 -1.799
Er -1.201 -5.412 -7.177
Er 3.310 -2.140 -5.392
Er 3.868 -2.483 0.445
Er 0.200 -2.023 -0.436
Th -0.471 -4.382 3.605
```


Below is a relaxed structure of La4Er2Th, with properties calculated at the PBE-GGA level.

Calculated values
Offset from the most stable computed form (meV/atom): 85.6
Final energy (eV/atom): -5.006
Energy of formation (eV per atom): 0.17

extended XYZ file:
```
28
Lattice="7.329 0.000 0.000 0.000 11.853 1.285 0.000 1.432 11.836" Properties=species:S:1:pos:R:3 pbc="T T T"
Er 3.664 3.321 3.280
Er 0.000 4.037 9.198
Er 0.000 9.247 3.923
Er 3.664 9.963 9.841
Er 3.664 9.248 3.923
Er 0.000 9.963 9.841
Er 3.664 4.037 9.198
Er 0.000 3.321 3.280
Th 3.660 0.716 5.918
Th 7.324 0.716 5.918
Th 3.669 5.926 0.643
Th 0.005 5.926 0.643
La 1.828 3.779 6.299
La 5.492 3.800 6.294
La 1.828 12.155 4.125
La 5.492 1.135 8.976
La 5.492 12.149 4.145
La 1.828 1.130 8.997
La 5.492 9.485 6.828
La 1.828 9.506 6.822
La 1.836 8.989 1.024
La 5.501 9.010 1.018
La 1.837 6.944 9.400
La 5.501 6.346 3.701
La 5.501 6.939 9.420
La 1.837 6.340 3.721
La 5.501 4.275 12.103
La 1.836 4.295 12.097
```


Below is a relaxed structure of La12Er2Th, with properties calculated at the PBE-GGA level.

Calculated values
Final energy (eV/atom): -4.719
Energy of formation (eV per atom): 0.33

extended XYZ file:
```
30
Lattice="6.615 0.000 0.000 0.000 6.615 0.000 0.000 0.000 25.858" Properties=species:S:1:pos:R:3 pbc="T T T"
La 3.308 3.308 20.334
La 0.000 0.000 20.334
La 4.549 5.375 23.043
La 1.241 4.549 23.043
La 0.000 0.000 8.671
La 2.067 5.375 2.815
La 5.504 2.196 14.557
La 3.308 3.308 8.671
La 2.067 1.241 23.043
La 5.375 4.549 2.815
La 2.196 1.112 14.557
La 4.419 1.112 11.301
La 0.000 0.000 17.188
La 1.112 2.196 11.301
La 1.241 2.067 2.815
La 5.504 4.419 11.301
La 4.419 5.504 14.557
La 0.000 0.000 5.524
La 1.112 4.419 14.557
La 3.308 3.308 17.188
La 5.375 2.067 23.043
La 3.308 3.308 5.524
La 2.196 5.504 11.301
La 4.549 1.241 2.815
Er 3.308 0.000 7.037
Er 0.000 3.308 7.037
Er 0.000 3.308 18.822
Er 3.308 0.000 18.822
Th 3.308 0.000 0.000
Th 0.000 3.308 0.000
```


Below is a relaxed structure of La4Er6Th, with properties calculated at the PBE-GGA level.

Calculated values
Final energy (eV/atom): -4.828
Energy of formation (eV per atom): 0.13

extended XYZ file:
```
22
Lattice="5.771 0.000 0.000 -2.886 4.882 0.000 0.000 0.000 26.080" Properties=species:S:1:pos:R:3 pbc="T T T"
La 2.886 3.306 14.215
La 0.000 4.673 3.246
La 0.000 1.575 11.865
La 2.886 0.208 22.834
La 2.886 3.306 24.905
La 0.000 1.575 1.175
La 2.886 0.208 16.286
La 0.000 4.673 9.794
Er 2.886 0.000 0.000
Er 2.886 0.000 13.040
Er 0.000 1.438 8.213
Er 2.886 3.443 17.867
Er 2.886 3.443 21.253
Er 0.000 1.438 4.827
Er 2.886 3.118 10.357
Er 0.000 1.764 15.722
Er 0.000 1.764 23.397
Er 2.886 3.118 2.682
Er 0.000 4.682 6.520
Er 2.886 0.200 19.560
Th 2.886 3.074 6.520
Th 0.000 1.808 19.560
```


Below is a relaxed structure of La2ErTh, with properties calculated at the PBE-GGA level.

Calculated values
Offset from the most stable computed form (meV/atom): 16.3
Final energy (eV/atom): -5.420
Energy of formation (eV per atom): 0.04

extended XYZ file:
```
4
Lattice="-2.023 -2.755 -1.246 0.809 -3.420 0.938 -7.451 -1.142 9.309" Properties=species:S:1:pos:R:3 pbc="T T T"
La -6.521 -5.484 6.780
La -2.144 -1.832 2.221
Th 0.000 0.000 0.000
Er -4.333 -3.658 4.500
```


Below is a relaxed structure of LaEr6Th3, with properties calculated at the PBE-GGA level.

Calculated values
Final energy (eV/atom): -5.271
Energy of formation (eV per atom): 0.19

extended XYZ file:
```
20
Lattice="-4.336 1.186 -3.384 5.468 -5.035 -8.769 -9.266 -4.361 10.343" Properties=species:S:1:pos:R:3 pbc="T T T"
La -8.320 -5.216 6.494
La 0.187 -2.995 -8.304
Er -3.718 -4.372 0.892
Er -4.416 -3.839 -2.703
Er 2.716 -5.382 -7.703
Er -10.849 -2.829 5.893
Er -2.303 -6.907 -1.807
Er -5.830 -1.304 -0.003
Er 1.120 -4.130 -5.221
Er -9.254 -4.081 3.410
Er -5.944 -6.139 3.126
Er -2.190 -2.072 -4.936
Er -1.482 -2.171 -1.200
Er -6.652 -6.041 -0.610
Th -5.519 -2.630 3.811
Th -2.614 -5.581 -5.621
Th -0.809 -4.582 -2.907
Th -7.325 -3.629 1.096
Th -4.395 -8.236 0.407
Th -3.738 0.025 -2.218
```


Below is a relaxed structure of La2Er3Th, with properties calculated at the PBE-GGA level.

Calculated values
Final energy (eV/atom): -5.052
Energy of formation (eV per atom): 0.11

extended XYZ file:
```
12
Lattice="6.630 0.233 1.012 -1.836 8.818 1.472 -0.454 -0.233 6.691" Properties=species:S:1:pos:R:3 pbc="T T T"
La 4.390 5.559 5.994
La 2.199 1.150 1.379
La 2.141 7.668 7.797
La -0.050 3.259 3.182
Er 3.136 2.204 4.852
Er 1.204 6.613 4.323
Er -1.040 8.692 6.109
Er 3.435 4.535 2.521
Er 0.905 4.283 6.654
Er 5.380 0.126 3.066
Th -0.867 6.614 1.740
Th 5.207 2.204 7.435
```


Below is a relaxed structure of LaEr2Th, with properties calculated at the PBE-GGA level.

Calculated values
Offset from the most stable computed form (meV/atom): 0.0
Final energy (eV/atom): -5.366
Energy of formation (eV per atom): 0.00

extended XYZ file:
```
8
Lattice="-2.082 0.015 2.952 3.210 -4.826 2.289 9.378 7.257 2.145" Properties=species:S:1:pos:R:3 pbc="T T T"
La 7.422 4.361 3.915
La 10.082 1.940 3.565
Er 7.683 -0.731 4.112
Er 0.445 -0.222 1.224
Er 1.013 -2.627 3.840
Er 5.034 1.690 4.448
Th 3.781 0.726 1.358
Th 4.347 -1.680 3.977
```


Below is a relaxed structure of La2Er7Th2, with properties calculated at the PBE-GGA level.

Calculated values
Offset from the most stable computed form (meV/atom): 0.0
Final energy (eV/atom): -4.961
Energy of formation (eV per atom): 0.19

extended XYZ file:
```
11
Lattice="5.815 1.126 1.625 0.496 7.893 1.314 0.496 -1.541 7.852" Properties=species:S:1:pos:R:3 pbc="T T T"
La 3.403 1.043 7.264
La 3.403 6.435 3.527
Er 1.284 -0.191 4.999
Er 5.522 2.730 9.215
Er 5.522 7.669 5.792
Er 1.284 4.748 1.577
Er 0.000 0.000 0.000
Er 4.095 5.420 7.822
Er 2.711 2.058 2.969
Th 5.153 3.480 5.021
Th 1.653 3.998 5.770
```


Below is a relaxed structure of La2ErTh, with properties calculated at the PBE-GGA level.

Calculated values
Offset from the most stable computed form (meV/atom): 184.4
Final energy (eV/atom): -5.252
Energy of formation (eV per atom): 0.21

extended XYZ file:
```
4
Lattice="-5.514 -1.785 -0.069 -1.247 -5.593 0.872 -2.570 -1.663 4.922" Properties=species:S:1:pos:R:3 pbc="T T T"
La -2.333 -2.260 1.431
La -6.999 -6.781 4.293
Th -4.666 -4.520 2.862
Er 0.000 0.000 0.000
```


Below is a relaxed structure of LaEr2Th, with properties calculated at the PBE-GGA level.

Calculated values
Offset from the most stable computed form (meV/atom): 38.6
Final energy (eV/atom): -5.327
Energy of formation (eV per atom): 0.04

extended XYZ file:
```
4
Lattice="-1.396 2.930 -3.731 -2.161 -4.009 -2.340 -4.411 0.970 2.412" Properties=species:S:1:pos:R:3 pbc="T T T"
La -0.698 1.465 -1.866
Th -3.984 -0.055 -1.830
Er -2.206 0.485 1.206
Er -1.080 -2.005 -1.170
```


Below is a relaxed structure of LaEr4Th, with properties calculated at the PBE-GGA level.

Calculated values
Offset from the most stable computed form (meV/atom): 122.3
Final energy (eV/atom): -4.948
Energy of formation (eV per atom): 0.15

extended XYZ file:
```
12
Lattice="6.536 -0.746 0.000 -2.690 8.705 0.000 -1.923 -3.980 7.305" Properties=species:S:1:pos:R:3 pbc="T T T"
La 0.289 4.166 1.231
La 1.634 -0.186 6.074
Er -1.588 -1.546 5.337
Er 1.775 3.227 4.498
Er -1.680 1.919 5.337
Er -1.197 5.105 4.498
Er 3.120 -1.126 2.808
Er 3.603 2.060 1.968
Er 0.148 0.753 2.808
Er 3.511 5.526 1.968
Th -2.979 4.539 7.279
Th 4.902 -0.559 0.026
```